[1]
A plane-wave DFT calculation with PBE-GGA was carried out for crystalline BC at its relaxed geometry.

M_tot = 0.000 Bohr magnetons per cell
DFT formation energy = 33.3 kJ per mole of atoms
Relative energy among the computed polymorphs = 18.7 kJ per mole of atoms
SG = Pm, No. 6

a b c (Å): 2.6062 4.8641 6.3135
angles (deg): 107.32 90.00 90.00
Sites, in units of the cell vectors:
B 0.0000 0.9987 0.0120
B 0.0000 0.6764 0.6156
B 0.0000 0.3359 0.3673
B 0.5000 0.4665 0.2182
B 0.0000 0.3358 0.6538
B 0.5000 0.5360 0.9563
C 0.0000 0.6462 0.8721
C 0.5000 0.8460 0.5618
C 0.5000 0.1743 0.9563
C 0.5000 0.1548 0.7069
C 0.0000 0.9889 0.2653
C 0.5000 0.8405 0.3142


[2]
A plane-wave DFT calculation with PBE-GGA was carried out for crystalline BC at its relaxed geometry.

M_tot = 0.000 Bohr magnetons per cell
DFT formation energy = 42.3 kJ per mole of atoms
Relative energy among the computed polymorphs = 27.7 kJ per mole of atoms
SG = R3m, No. 160

a b c (Å): 12.4848 12.4848 12.4848
angles (deg): 12.15 12.15 12.15
Sites, in units of the cell vectors:
B 0.1966 0.1966 0.1966
B 0.1490 0.1490 0.1490
B 0.6216 0.6216 0.6216
B 0.3961 0.3961 0.3961
B 0.7887 0.7887 0.7887
C 0.7476 0.7476 0.7476
C 0.9608 0.9608 0.9608
C 0.3525 0.3525 0.3525
C 0.0057 0.0057 0.0057
C 0.5313 0.5313 0.5313


[3]
A plane-wave DFT calculation with PBE-GGA was carried out for crystalline B7C5 at its relaxed geometry.

M_tot = 0.000 Bohr magnetons per cell
DFT formation energy = 34.6 kJ per mole of atoms
Relative energy among the computed polymorphs = 18.7 kJ per mole of atoms
SG = Cm, No. 8

a b c (Å): 4.4196 4.4196 8.7951
angles (deg): 120.93 120.93 33.41
Sites, in units of the cell vectors:
B 0.0270 0.0270 0.0095
B 0.4740 0.4740 0.3772
B 0.3367 0.3367 0.6564
B 0.1601 0.1601 0.2452
B 0.5710 0.5710 0.9026
B 0.2776 0.2776 0.1329
B 0.8304 0.8304 0.0222
C 0.6501 0.6501 0.3554
C 0.6759 0.6759 0.7977
C 0.9896 0.9896 0.5122
C 0.1760 0.1760 0.7015
C 0.8316 0.8316 0.5372


[4]
A plane-wave DFT calculation with PBE-GGA was carried out for crystalline BC at its relaxed geometry.

M_tot = 0.000 Bohr magnetons per cell
DFT formation energy = 32.7 kJ per mole of atoms
Relative energy among the computed polymorphs = 18.2 kJ per mole of atoms
SG = P-1, No. 2

a b c (Å): 2.7274 3.3038 3.8543
angles (deg): 76.98 69.39 65.71
Sites, in units of the cell vectors:
C 0.9364 0.9338 0.6957
C 0.0636 0.0662 0.3043
B 0.5949 0.2118 0.0977
B 0.4051 0.7882 0.9023


[5]
A plane-wave DFT calculation with PBE-GGA was carried out for crystalline BC at its relaxed geometry.

M_tot = 0.000 Bohr magnetons per cell
DFT formation energy = 36.5 kJ per mole of atoms
Relative energy among the computed polymorphs = 22.0 kJ per mole of atoms
SG = P3m1, No. 156

a b c (Å): 2.6854 2.6854 14.6569
angles (deg): 90.00 90.00 120.00
Sites, in units of the cell vectors:
B 0.6667 0.3333 0.3928
B 0.6667 0.3333 0.8506
B 0.6667 0.3333 0.1412
B 0.3333 0.6667 0.6928
B 0.0000 0.0000 0.5077
B 0.3333 0.6667 0.5713
C 0.3333 0.6667 0.0171
C 0.0000 0.0000 0.3999
C 0.3333 0.6667 0.1274
C 0.0000 0.0000 0.8738
C 0.0000 0.0000 0.9806
C 0.6667 0.3333 0.6949


[6]
A plane-wave DFT calculation with PBE-GGA was carried out for crystalline B7C5 at its relaxed geometry.

M_tot = 0.000 Bohr magnetons per cell
DFT formation energy = 33.0 kJ per mole of atoms
Relative energy among the computed polymorphs = 17.2 kJ per mole of atoms
SG = Cm, No. 8

a b c (Å): 6.2033 6.2033 5.5285
angles (deg): 107.85 107.85 25.19
Sites, in units of the cell vectors:
C 0.9075 0.9075 0.6578
C 0.3291 0.3291 0.1707
C 0.2638 0.2638 0.8892
C 0.5825 0.5825 0.5279
C 0.5852 0.5852 0.0239
B 0.2578 0.2578 0.3615
B 0.3410 0.3410 0.7017
B 0.6426 0.6426 0.3226
B 0.0274 0.0274 0.9147
B 0.0194 0.0194 0.5417
B 0.8733 0.8733 0.3113
B 0.6704 0.6704 0.8270